Entry 1:
{"formula": "Ba2NaSn", "functional": "PBE-GGA", "state": "optimized geometry", "lattice": [[5.582, 0.000, 0.000], [0.000, 5.582, 0.000], [2.791, 2.791, 11.877]], "species": ["Na", "Na", "Ba", "Ba", "Ba", "Ba", "Sn", "Sn"], "fractional_positions": [[0.500, 0.500, 0.000], [0.250, 0.750, 0.500], [0.646, 0.125, 0.250], [0.104, 0.625, 0.250], [0.375, 0.354, 0.750], [0.875, 0.896, 0.750], [0.000, 0.000, 0.000], [0.750, 0.250, 0.500]], "final_energy_ev_per_atom": -2.2341, "formation_enthalpy_0k_ev_per_atom": 0.06}


Entry 2:
{"formula": "BaNa4Sn", "functional": "PBE-GGA", "state": "optimized geometry", "lattice": [[-5.564, 1.388, -0.492], [-2.191, -6.686, 5.914], [3.589, 4.885, 6.852]], "species": ["Ba", "Ba", "Na", "Na", "Na", "Na", "Na", "Na", "Na", "Na", "Sn", "Sn"], "fractional_positions": [[0.381, 0.750, 0.762], [0.619, 0.250, 0.238], [0.234, 0.422, 0.469], [0.766, 0.578, 0.531], [0.234, 0.078, 0.469], [0.766, 0.922, 0.531], [0.596, 0.750, 0.191], [0.404, 0.250, 0.809], [0.000, 0.500, 0.000], [0.000, 0.000, 0.000], [0.179, 0.750, 0.357], [0.821, 0.250, 0.643]], "final_energy_ev_per_atom": -1.9071, "formation_enthalpy_0k_ev_per_atom": -0.04}


Entry 3:
{"formula": "BaNa3Sn2", "functional": "PBE-GGA", "state": "optimized geometry", "lattice": [[-1.099, 3.906, -3.676], [-6.380, -5.430, 0.214], [0.404, 7.077, 7.400]], "species": ["Ba", "Ba", "Na", "Na", "Na", "Na", "Na", "Na", "Sn", "Sn", "Sn", "Sn"], "fractional_positions": [[0.864, 0.728, 0.982], [0.136, 0.272, 0.018], [0.286, 0.573, 0.461], [0.940, 0.881, 0.621], [0.595, 0.190, 0.708], [0.405, 0.810, 0.292], [0.060, 0.119, 0.379], [0.714, 0.427, 0.539], [0.442, 0.883, 0.828], [0.558, 0.117, 0.172], [0.776, 0.552, 0.264], [0.224, 0.448, 0.736]], "final_energy_ev_per_atom": -2.6461, "formation_enthalpy_0k_ev_per_atom": -0.33}


Entry 4:
{"formula": "Ba2Na2Sn15", "functional": "PBE-GGA", "state": "optimized geometry", "lattice": [[-3.941, -3.137, -6.829], [-0.869, -8.159, 2.167], [-8.059, -0.181, 2.651]], "species": ["Ba", "Ba", "Na", "Na", "Sn", "Sn", "Sn", "Sn", "Sn", "Sn", "Sn", "Sn", "Sn", "Sn", "Sn", "Sn", "Sn", "Sn", "Sn"], "fractional_positions": [[0.345, 0.345, 0.345], [0.655, 0.655, 0.655], [0.100, 0.100, 0.100], [0.900, 0.900, 0.900], [0.500, 0.000, 0.000], [0.000, 0.000, 0.500], [0.000, 0.500, 0.000], [0.000, 0.710, 0.290], [0.710, 0.290, 0.000], [0.290, 0.000, 0.710], [0.290, 0.710, 0.000], [0.710, 0.000, 0.290], [0.000, 0.290, 0.710], [0.142, 0.638, 0.638], [0.638, 0.638, 0.142], [0.638, 0.142, 0.638], [0.858, 0.362, 0.362], [0.362, 0.362, 0.858], [0.362, 0.858, 0.362]], "final_energy_ev_per_atom": -3.6856, "formation_enthalpy_0k_ev_per_atom": -0.18}


Entry 5:
{"formula": "BaNa7Sn5", "functional": "PBE-GGA", "state": "optimized geometry", "lattice": [[6.760, 0.000, 0.000], [3.380, 7.692, 0.012], [3.380, -0.013, 7.692]], "species": ["Ba", "Na", "Na", "Na", "Na", "Na", "Na", "Na", "Sn", "Sn", "Sn", "Sn", "Sn"], "fractional_positions": [[0.036, 0.964, 0.964], [0.686, 0.314, 0.314], [0.367, 0.633, 0.633], [0.979, 0.362, 0.680], [0.979, 0.680, 0.362], [0.276, 0.224, 0.224], [0.501, 0.789, 0.209], [0.501, 0.209, 0.789], [0.467, 0.004, 0.516], [0.013, 0.004, 0.516], [0.467, 0.516, 0.004], [0.013, 0.516, 0.004], [0.715, 0.785, 0.785]], "final_energy_ev_per_atom": -2.6069, "formation_enthalpy_0k_ev_per_atom": -0.21}


Entry 6:
{"formula": "BaNa2Sn2", "functional": "PBE-GGA", "state": "optimized geometry", "lattice": [[9.203, 0.000, 0.000], [0.000, 9.203, 0.000], [0.000, 0.000, 3.937]], "species": ["Na", "Na", "Na", "Na", "Ba", "Ba", "Sn", "Sn", "Sn", "Sn"], "fractional_positions": [[0.171, 0.671, 0.500], [0.671, 0.829, 0.500], [0.829, 0.329, 0.500], [0.329, 0.171, 0.500], [0.000, 0.000, 0.000], [0.500, 0.500, 0.000], [0.384, 0.884, 0.000], [0.884, 0.616, 0.000], [0.616, 0.116, 0.000], [0.116, 0.384, 0.000]], "final_energy_ev_per_atom": -2.7130, "formation_enthalpy_0k_ev_per_atom": -0.20}


Number 3 is which compound? BaNa3Sn2